LiTl | PBEsol | relaxed

a b c (Å): 4.221 4.221 5.615
angles (deg): 112.08 112.08 90.00
Sites, in units of the cell vectors:
Tl (0.750, 0.250, 0.500)
Tl (0.500, 0.500, 0.000)
Li (0.250, 0.750, 0.500)
Li (0.000, 0.000, 0.000)

* total energy: -2.51 eV/atom
* DOS at the Fermi energy: 1.6 states/eV per cell